# 1
VASP calculation (GGA-PBE) on crystalline CdHgBr2 at its relaxed geometry.

```
CdHgBr2
1.0
0.000 3.765 3.765
3.765 0.000 3.765
3.765 3.765 0.000
Hg Br Cd
1 2 1
Cartesian
3.765 3.765 3.765 Hg
1.883 1.883 1.883 Br
5.648 5.648 5.648 Br
0.000 0.000 0.000 Cd
```

**Polymorph energy (0 for the lowest one)**: 0.4572 eV per atom
**Density of states at the Fermi level**: 0.692 states/eV/atom
**ΔE_f (raw)**: -0.1619 eV/atom


# 2
VASP calculation (GGA-PBE) on crystalline Dy2Cd2Hg7 at its relaxed geometry.

```
Dy2Cd2Hg7
1.0
-2.849 4.057 -2.121
-8.618 3.096 4.669
-1.294 5.281 5.424
Hg Cd Dy
7 2 2
Cartesian
-10.963 8.851 5.199 Hg
-1.798 3.582 2.774 Hg
-6.151 5.076 5.064 Hg
-8.008 4.663 2.180 Hg
-4.753 7.770 5.793 Hg
0.000 0.000 0.000 Hg
-6.610 7.357 2.909 Hg
-5.697 4.488 0.137 Cd
-7.065 7.945 7.836 Cd
-9.004 6.411 4.674 Dy
-3.758 6.022 3.299 Dy
```

**Polymorph energy (0 for the lowest one)**: 0.0000 eV per atom
**Formation enthalpy at 0 K**: -0.182 eV/atom
**Density of states at the Fermi level**: 0.336 states/eV/atom


# 3
VASP calculation (GGA-PBE) on crystalline CsRbCa2Mo at its relaxed geometry.

```
CsRbCa2Mo
1.0
-6.341 -0.896 2.956
-2.145 -3.683 -5.719
2.245 -5.973 3.005
Rb Ca Cs Mo
1 2 1 1
Cartesian
0.000 0.000 0.000 Rb
1.122 -2.987 1.503 Ca
-3.171 -0.448 1.478 Ca
-1.073 -1.841 -2.859 Cs
-3.121 -5.276 0.121 Mo
```

**Polymorph energy (0 for the lowest one)**: 0.1545 eV per atom
**Formation enthalpy at 0 K**: 1.732 eV/atom
**Density of states at the Fermi level**: 1.397 states/eV/atom


# 4
VASP calculation (GGA-PBE) on crystalline Y2AgAu at its relaxed geometry.

```
Y2AgAu
1.0
-0.474 3.976 -0.341
-2.520 1.495 -2.751
-6.702 1.581 4.063
Y Ag Au
2 1 1
Cartesian
-5.346 1.639 2.852 Y
-2.357 1.766 0.183 Y
-4.828 3.527 0.468 Ag
-2.012 3.647 -2.047 Au
```

**Formation enthalpy at 0 K**: -0.419 eV/atom
**Density of states at the Fermi level**: 0.820 states/eV/atom


# 5
VASP calculation (GGA-PBE) on crystalline HgTePt at its relaxed geometry.

```
HgTePt
1.0
4.983 0.000 0.000
-2.491 4.315 0.000
0.000 0.000 3.067
Te Pt Hg
1 1 1
Cartesian
2.491 1.438 1.464 Te
0.000 2.877 1.147 Pt
0.000 0.000 0.456 Hg
```

**Polymorph energy (0 for the lowest one)**: 0.4287 eV per atom
**Density of states at the Fermi level**: 0.678 states/eV/atom
**ΔE_f (raw)**: 0.2160 eV/atom


# 6
VASP calculation (GGA-PBE) on crystalline Ca5Bi3 at its relaxed geometry.

```
Ca5Bi3
1.0
-5.066 6.731 0.901
-7.554 -5.235 -3.367
-2.777 -3.691 11.969
Bi Ca
12 20
Cartesian
-6.992 -0.966 2.605 Bi
-8.897 3.115 1.247 Bi
-11.681 0.493 4.100 Bi
-4.071 1.474 -0.272 Bi
-3.716 -2.688 5.402 Bi
-10.580 -3.452 1.006 Bi
-11.327 -3.669 9.774 Bi
-4.817 1.258 8.496 Bi
-10.088 -7.796 6.656 Bi
-5.309 5.601 2.846 Bi
-6.500 -5.310 8.256 Bi
-8.405 -1.229 6.897 Bi
-6.403 1.031 11.538 Ca
-7.244 -3.977 1.095 Ca
-9.808 -5.835 3.846 Ca
-9.625 -4.504 7.256 Ca
-5.589 3.641 5.656 Ca
-8.153 1.782 8.407 Ca
-11.840 -1.104 6.938 Ca
-9.751 -0.188 0.829 Ca
-9.531 -1.137 10.144 Ca
-5.621 -0.004 5.502 Ca
-9.777 -2.191 4.000 Ca
-8.717 1.473 4.262 Ca
-6.680 -3.667 5.240 Ca
-5.646 -2.007 8.673 Ca
-4.827 -4.748 11.098 Ca
-5.866 -1.058 -0.642 Ca
-8.994 -3.226 -2.036 Ca
-5.772 2.309 2.246 Ca
-3.558 -1.091 2.564 Ca
-10.570 2.554 -1.596 Ca
```

**Formation enthalpy at 0 K**: -0.846 eV/atom
**Density of states at the Fermi level**: 0.144 states/eV/atom


# 7
VASP calculation (GGA-PBE) on crystalline Zr3C at its relaxed geometry.

```
Zr3C
1.0
-1.358 2.749 -0.801
-0.208 -2.322 -2.146
-7.170 -2.538 3.442
C Zr
1 3
Cartesian
0.000 0.000 0.000 C
-6.642 -1.861 1.339 Zr
-3.585 -1.269 1.721 Zr
-2.094 -0.251 -0.844 Zr
```

**Polymorph energy (0 for the lowest one)**: 0.4098 eV per atom
**Formation enthalpy at 0 K**: 0.011 eV/atom
**Density of states at the Fermi level**: 1.199 states/eV/atom


# 8
VASP calculation (GGA-PBE) on crystalline Dy8CuAg2 at its relaxed geometry.

```
Dy8CuAg2
1.0
5.181 0.000 0.000
0.000 6.822 0.177
-2.591 -2.717 8.368
Dy Cu Ag
8 1 2
Cartesian
0.000 -1.654 5.664 Dy
2.590 5.760 2.880 Dy
2.591 2.563 1.600 Dy
0.000 5.188 0.592 Dy
2.591 3.052 5.150 Dy
2.591 -1.083 7.952 Dy
0.000 1.054 3.395 Dy
0.000 1.543 6.944 Dy
2.591 0.000 0.000 Cu
0.000 3.940 3.221 Ag
2.591 0.165 5.324 Ag
```

**Formation enthalpy at 0 K**: -0.115 eV/atom
**Density of states at the Fermi level**: 0.977 states/eV/atom


Question: density of states at the Fermi level of number 6 (Ca5Bi3)?
Answer: 0.144 states/eV/atom